DFT (GGA-PBE) results for a relaxed RbCrMoP2 crystal.

a = 4.716 Å, b = 5.737 Å, c = 4.716 Å
α = 90.00°, β = 90.00°, γ = 90.00°
Sites, in units of the cell vectors:
1 Cr 0.500 0.500 0.500
2 Mo 0.000 0.000 0.000
3 Rb 0.000 0.500 0.000
4 P 0.000 0.000 0.500
5 P 0.500 0.000 0.000

Summary:
Energy of formation   726 kJ/mol of formula units
E_tot   -4.944 eV per atom
Space-group type   No. 123